(1)
Below is crystalline Th2IrPb at its relaxed geometry, with properties calculated at the PBE-GGA level.

Computed properties:
Offset from the most stable computed form ... 0 kJ/mol of formula units
Energy ... -7.458 eV per atom
Calculated formation energy ... -58 kJ/mol of atoms
Crystal system ... monoclinic

Lattice parameters (Å, degrees): 7.115 4.077 8.631 90.00 105.76 90.00
Space group C2/m (No. 12)
One atom of each set of equivalent atoms:
Th: 0.231 0.000 0.195 (multiplicity 4)
Ir: 0.000 0.500 0.000 (multiplicity 2)
Pb: 0.000 0.000 0.500 (multiplicity 2)

---

(2)
Below is crystalline CaSi2Au at its relaxed geometry, with properties calculated at the PBE-GGA level.

Computed properties:
Energy ... -4.254 eV per atom
E_form (uncorrected) ... -0.223 eV per atom
Crystal system ... orthorhombic

Lattice parameters (Å, degrees): 3.760 4.226 10.575 90.00 90.00 90.00
Space group Imm2 (No. 44)
One atom of each set of equivalent atoms:
Ca: 0.000 0.000 0.000 (multiplicity 2)
Si: 0.000 0.000 0.379 (multiplicity 2)
Si: 0.000 0.500 0.728 (multiplicity 2)
Au: 0.000 0.500 0.246 (multiplicity 2)

---

(3)
Below is crystalline CsCa2Rh at its relaxed geometry, with properties calculated at the PBE-GGA level.

Computed properties:
Offset from the most stable computed form ... 0 kJ/mol of formula units
Energy ... -2.953 eV per atom
Calculated formation energy ... 10 kJ/mol of atoms
Crystal system ... tetragonal

Lattice parameters (Å, degrees): 8.464 8.464 11.846 90.00 90.00 90.00
Space group I-42d (No. 122)
One atom of each set of equivalent atoms:
Cs: 0.000 0.000 0.000 (multiplicity 4)
Ca: 0.001 0.250 0.625 (multiplicity 8)
Rh: 0.000 0.000 0.500 (multiplicity 4)

---

(4)
Below is crystalline CaZrAs2 at its relaxed geometry, with properties calculated at the PBE-GGA level.

Computed properties:
Offset from the most stable computed form ... 187 kJ/mol of formula units
Energy ... -5.658 eV per atom
Calculated formation energy ... -67 kJ/mol of atoms
Crystal system ... tetragonal

Lattice parameters (Å, degrees): 5.092 5.092 6.525 90.00 90.00 90.00
Space group I4/mmm (No. 139)
One atom of each set of equivalent atoms:
Ca: 0.000 0.000 0.000 (multiplicity 2)
Zr: 0.000 0.000 0.500 (multiplicity 2)
As: 0.000 0.500 0.250 (multiplicity 4)

---

(5)
Below is crystalline DyU3S4 at its relaxed geometry, with properties calculated at the PBE-GGA level.

Computed properties:
Energy ... -8.394 eV per atom
E_form (uncorrected) ... -1.522 eV per atom
Crystal system ... orthorhombic

Lattice parameters (Å, degrees): 7.799 10.942 3.850 90.00 90.00 90.00
Space group Cmmm (No. 65)
One atom of each set of equivalent atoms:
Dy: 0.000 0.000 0.000 (multiplicity 2)
U: 0.000 0.500 0.000 (multiplicity 2)
U: 0.250 0.250 0.500 (multiplicity 4)
S: 0.000 0.249 0.000 (multiplicity 4)
S: 0.249 0.000 0.500 (multiplicity 4)

---

What volume values result from the calculations? In sequence: 240.9 168.0 848.7 169.2 328.6 Å³/cell.